## ZrZn8Fe4 (PBE-GGA)

Data for a geometry-optimized ZrZn8Fe4 structure.

Unit cell a=5.0091 b=6.5707 c=6.5707 alpha=81.65 beta=67.59 gamma=67.59
Closest atoms and distances in Å follow each position.
Sites, in units of the cell vectors:
Zn1 0.3363 0.6637 0.6637  4 Fe 2.59, 5 Zn 2.70-2.81, 1 Zr 2.89
Fe1 0.5000 0.5000 0.0000  8 Zn 2.50-2.59, 2 Fe 2.50
Zn2 0.7192 0.7808 0.7808  4 Fe 2.50, 6 Zn 2.66-2.79
Zr1 0.0000 0.0000 0.0000  12 Zn 2.89-3.13
Fe2 0.5000 0.0000 0.5000  8 Zn 2.50-2.59, 2 Fe 2.50
Fe3 0.0000 0.0000 0.5000  8 Zn 2.50-2.59, 2 Fe 2.50
Zn3 0.0000 0.6637 0.3363  4 Fe 2.59, 5 Zn 2.70-2.81, 1 Zr 2.89
Zn4 0.2808 0.2192 0.2192  4 Fe 2.50, 6 Zn 2.66-2.79
Zn5 0.5000 0.7808 0.2192  4 Fe 2.50, 6 Zn 2.66-2.79
Fe4 0.0000 0.5000 0.0000  8 Zn 2.50-2.59, 2 Fe 2.50
Zn6 0.0000 0.3363 0.6637  4 Fe 2.59, 5 Zn 2.70-2.81, 1 Zr 2.89
Zn7 0.5000 0.2192 0.7808  4 Fe 2.50, 6 Zn 2.66-2.79
Zn8 0.6637 0.3363 0.3363  4 Fe 2.59, 5 Zn 2.70-2.81, 1 Zr 2.89

Calculated values
Calculated density, g/cm³: 7.5
Formation energy, kJ per mole of atoms: -3.13
Crystal system: tetragonal
Space-group type: I4/mmm (139)